NiHgOF2: optimized geometry, GGA+U.

Cell lengths 3.888, 3.888, 4.162 Å; angles 90.00, 90.00, 90.00 degrees
Last column: magnetic moment on the atom in μB.
Atoms (fractional coordinates):
Hg: 0.500 0.500 0.500  -0.01
F: 0.500 0.000 0.000  0.04
F: 0.000 0.500 0.000  0.04
Ni: 0.000 0.000 0.000  1.81
O: 0.000 0.000 0.500  0.04

Properties
SG: P4/mmm, No. 123
Calculated total energy in Ry per atom: -0.254
Calculated density in Mg/m³: 8.27
N(E_F) in states/eV/f.u.: 0.6